# GGA-PBE Li2PtW, relaxed
# Crystal system: tetragonal
# Spin magnetization, μB per formula unit: 0.00
# Calculated formation energy, kcal/mol of atoms: 4.04
# Fermi-level density of states, states/eV per cell: 3.54
data_Li2PtW
_space_group_name_H-M_alt 'P 4/m m m'
_space_group_IT_number 123
_space_group_name_Hall '-P 4 2'
_cell_length_a 3.6837
_cell_length_b 3.6837
_cell_length_c 4.4254
_cell_angle_alpha 90.00
_cell_angle_beta 90.00
_cell_angle_gamma 90.00
loop_
_atom_site_label
_atom_site_type_symbol
_atom_site_fract_x
_atom_site_fract_y
_atom_site_fract_z
Li1 Li 0.0000 0.5000 0.0000
Pt1 Pt 0.0000 0.0000 0.5000
W1 W 0.5000 0.5000 0.5000

---

# GGA-PBE K4Tm3MnSe8, relaxed
# Electronic total energy, eV/atom: -4.895
# Crystal system: trigonal
# Spin magnetization, μB per formula unit: 4.00
# Fermi-level density of states, states/eV per cell: 8.77
data_K4Tm3MnSe8
_space_group_name_H-M_alt 'R -3 m'
_space_group_IT_number 166
_space_group_name_Hall '-R 3 2"'
_cell_length_a 8.2024
_cell_length_b 8.2024
_cell_length_c 22.9917
_cell_angle_alpha 90.00
_cell_angle_beta 90.00
_cell_angle_gamma 120.00
loop_
_atom_site_label
_atom_site_type_symbol
_atom_site_fract_x
_atom_site_fract_y
_atom_site_fract_z
K1 K 0.0000 0.0000 0.0000
K2 K 0.0000 0.5000 0.0000
Tm1 Tm 0.0000 0.5000 0.5000
Mn1 Mn 0.0000 0.0000 0.5000
Se1 Se 0.0000 0.0000 0.2350
Se2 Se 0.0145 0.5072 0.2320

---

# GGA-PBE SrTaGaSb2, relaxed
# Electronic total energy, eV/atom: -3.206
# Crystal system: tetragonal
# Spin magnetization, μB per formula unit: 0.00
# Fermi-level density of states, states/eV per cell: 11.00
data_SrTaGaSb2
_space_group_name_H-M_alt 'P 4/m m m'
_space_group_IT_number 123
_space_group_name_Hall '-P 4 2'
_cell_length_a 5.7515
_cell_length_b 5.7515
_cell_length_c 5.2645
_cell_angle_alpha 90.00
_cell_angle_beta 90.00
_cell_angle_gamma 90.00
loop_
_atom_site_label
_atom_site_type_symbol
_atom_site_fract_x
_atom_site_fract_y
_atom_site_fract_z
Sr1 Sr 0.0000 0.0000 0.0000
Ta1 Ta 0.5000 0.5000 0.5000
Ga1 Ga 0.0000 0.0000 0.5000
Sb1 Sb 0.0000 0.5000 0.0000

---

# GGA-PBE AcSm4Ho, relaxed
# Crystal system: monoclinic
# Spin magnetization, μB per formula unit: 0.00
# Calculated formation energy, kcal/mol of atoms: 1.36
# Fermi-level density of states, states/eV per cell: 34.43
data_AcSm4Ho
_space_group_name_H-M_alt 'C 1 2/c 1'
_space_group_IT_number 15
_space_group_name_Hall '-C 2yc'
_cell_length_a 7.1491
_cell_length_b 20.0327
_cell_length_c 5.7960
_cell_angle_alpha 90.00
_cell_angle_beta 90.02
_cell_angle_gamma 90.00
loop_
_atom_site_label
_atom_site_type_symbol
_atom_site_fract_x
_atom_site_fract_y
_atom_site_fract_z
Ac1 Ac 0.0000 0.1234 0.2500
Sm1 Sm 0.2396 0.4583 0.2488
Sm2 Sm 0.2462 0.2915 0.2503
Ho1 Ho 0.0000 0.3728 0.7500

---

# GGA-PBE Y2Ni2Rh, relaxed
# Crystal system: tetragonal
# Spin magnetization, μB per formula unit: 0.00
# Calculated formation energy, kcal/mol of atoms: -5.46
# Fermi-level density of states, states/eV per cell: 7.70
data_Y2Ni2Rh
_space_group_name_H-M_alt 'I 4/m m m'
_space_group_IT_number 139
_space_group_name_Hall '-I 4 2'
_cell_length_a 5.1991
_cell_length_b 5.1991
_cell_length_c 7.3100
_cell_angle_alpha 90.00
_cell_angle_beta 90.00
_cell_angle_gamma 90.00
loop_
_atom_site_label
_atom_site_type_symbol
_atom_site_fract_x
_atom_site_fract_y
_atom_site_fract_z
Y1 Y 0.0000 0.5000 0.2500
Ni1 Ni 0.0000 0.0000 0.1537
Rh1 Rh 0.0000 0.0000 0.5000

---

# GGA-PBE MnTe2Mo, relaxed
# Electronic total energy, eV/atom: -6.466
# Crystal system: monoclinic
# Spin magnetization, μB per formula unit: 2.86
# Fermi-level density of states, states/eV per cell: 5.29
data_MnTe2Mo
_space_group_name_H-M_alt 'C 1 m 1'
_space_group_IT_number 8
_space_group_name_Hall 'C -2y'
_cell_length_a 8.3903
_cell_length_b 3.4710
_cell_length_c 7.1677
_cell_angle_alpha 90.00
_cell_angle_beta 101.05
_cell_angle_gamma 90.00
loop_
_atom_site_label
_atom_site_type_symbol
_atom_site_fract_x
_atom_site_fract_y
_atom_site_fract_z
Mn1 Mn 0.0000 0.0000 0.0000
Te1 Te 0.0263 0.5000 0.6657
Te2 Te 0.2456 0.5000 0.1713
Mo1 Mo 0.2610 0.0000 0.8707